# KRhAu2

A relaxed KRhAu2 crystal (PBE, Alexandria).

Cell and atoms, written as POSCAR:
```
KRhAu2
1.0
-5.480 3.248 -0.554
-3.737 -0.358 -5.177
2.869 -2.304 5.230
Au K Rh
2 1 1
Direct
0.959 0.959 0.000
0.541 0.541 0.000
0.250 0.750 0.500
0.750 0.250 0.500
```

The value obtained for the energy relative to the elements is 0.278 eV/atom. As for the spin magnetization: 0.6 μB/f.u. As for the total energy: -3.47 eV/atom.


# KRh2Au

A relaxed KRh2Au crystal (PBE, Alexandria).

Cell and atoms, written as POSCAR:
```
KRh2Au
1.0
5.171 0.000 0.000
1.778 4.855 0.000
-3.474 -2.428 2.962
Au K Rh
1 1 2
Direct
0.250 0.750 0.500
0.750 0.250 0.500
0.000 0.000 0.000
0.500 0.500 0.000
```

The value obtained for the energy relative to the elements is 0.759 eV/atom. As for the spin magnetization: 1.5 μB/f.u. As for the total energy: -4.01 eV/atom.